A PBEsol-optimized structure of GeTeSeI2. Source: Alexandria via LeMat-Bulk, functional meta-GGA SCAN.

Lattice parameters (Å, degrees): 5.420 5.420 5.695 90.00 90.00 90.00
Positions (direct):
I 0.000 0.500 0.000
Se 0.000 0.000 0.000
I 0.500 0.000 0.000
Ge 0.500 0.500 0.500
Te 0.000 0.000 0.500

The uncorrected formation energy is 0.61 eV/atom. For the total energy, the calculation gives -146.86 eV/f.u.

A PBEsol-optimized structure of AlBiAu3. Source: Alexandria via LeMat-Bulk, functional meta-GGA SCAN.

Lattice parameters (Å, degrees): 5.312 5.312 5.312 90.00 90.00 90.00
Positions (direct):
Al 0.500 0.500 0.500
Bi 0.000 0.000 0.000
Au 0.500 0.000 0.000
Au 0.000 0.000 0.500
Au 0.000 0.500 0.000

For the total energy, the calculation gives -290.23 eV/f.u. The calculation puts the calculated formation energy at 715 meV per atom.

A PBEsol-optimized structure of RbMg. Source: Alexandria via LeMat-Bulk, functional meta-GGA SCAN.

Lattice parameters (Å, degrees): 4.683 4.683 11.244 90.00 90.00 120.00
Positions (direct):
Rb 0.333 0.667 0.811
Mg 0.333 0.667 0.437
Mg 0.667 0.333 0.563
Rb 0.667 0.333 0.189

For the total energy, the calculation gives -25.07 eV/f.u. The calculation puts the calculated formation energy at 320 meV per atom.